Computed, not measured: crystalline Al2VCdO6 at its relaxed geometry at the PBE+U level of DFT.

Computed properties:
SG: No. 15
VASP energy in eV per atom: -6.79
Calculated volume in Å³/f.u.: 127

Cell lengths 5.899, 6.955, 6.955 Å; angles 100.37, 74.31, 74.31 degrees
Fractional coordinates of all 20 atoms:
Al: 0.325 0.704 0.557
Al: 0.675 0.296 0.443
V: 0.250 0.198 0.802
Cd: 0.750 0.101 0.899
Al: 0.175 0.443 0.296
O: 0.307 0.218 0.055
O: 0.466 0.437 0.332
O: 0.193 0.945 0.782
V: 0.750 0.802 0.198
O: 0.441 0.837 0.365
O: 0.941 0.365 0.837
Cd: 0.250 0.899 0.101
O: 0.059 0.635 0.163
O: 0.034 0.668 0.563
O: 0.534 0.563 0.668
O: 0.807 0.055 0.218
O: 0.693 0.782 0.945
Al: 0.825 0.557 0.704
O: 0.966 0.332 0.437
O: 0.559 0.163 0.635